1.
BeCo2Rh | PBEsol | optimized geometry

As for the energy of formation: -1.60 kcal/mol of atoms. The calculation puts the total moment at 0.00 μB/f.u.

Cell lengths 3.5036, 3.5036, 6.7611 Å; angles 90.00, 90.00, 90.00 degrees
Space group I-4m2 (No. 119)
One atom of each set of equivalent atoms:
Be: 0.0000 0.0000 0.0000 (multiplicity 2)
Co: 0.0000 0.0000 0.5000 (multiplicity 2)
Co: 0.0000 0.5000 0.2500 (multiplicity 2)
Rh: 0.0000 0.5000 0.7500 (multiplicity 2)


2.
BeCo2Rh | PBEsol | optimized geometry

As for the energy of formation: -2.14 kcal/mol of atoms. The calculation puts the total moment at 0.01 μB/f.u.

Cell lengths 3.3762, 3.3762, 7.2643 Å; angles 90.00, 90.00, 90.00 degrees
Space group I4/mmm (No. 139)
One atom of each set of equivalent atoms:
Be: 0.0000 0.0000 0.0000 (multiplicity 2)
Co: 0.0000 0.5000 0.2500 (multiplicity 4)
Rh: 0.0000 0.0000 0.5000 (multiplicity 2)


3.
BeCoRh2 | PBEsol | optimized geometry

As for the energy of formation: -2.71 kcal/mol of atoms. The calculation puts the total moment at 0.00 μB/f.u.

Cell lengths 3.7061, 3.7061, 6.6087 Å; angles 90.00, 90.00, 90.00 degrees
Space group I4/mmm (No. 139)
One atom of each set of equivalent atoms:
Be: 0.0000 0.0000 0.0000 (multiplicity 2)
Co: 0.0000 0.0000 0.5000 (multiplicity 2)
Rh: 0.0000 0.5000 0.2500 (multiplicity 4)


4.
BeCoRh2 | PBEsol | optimized geometry

As for the energy of formation: -5.53 kcal/mol of atoms. The calculation puts the total moment at 2.72 μB/f.u.

Cell lengths 2.7351, 2.7351, 6.0494 Å; angles 90.00, 90.00, 90.00 degrees
Space group P4/mmm (No. 123)
One atom of each set of equivalent atoms:
Be: 0.0000 0.0000 0.0000 (multiplicity 1)
Co: 0.0000 0.0000 0.5000 (multiplicity 1)
Rh: 0.5000 0.5000 0.2275 (multiplicity 2)


5.
Be4CoRh | PBEsol | optimized geometry

As for the energy of formation: -8.70 kcal/mol of atoms. The calculation puts the total moment at 0.01 μB/f.u.

Cell lengths 5.9337, 5.9337, 5.9337 Å; angles 90.00, 90.00, 90.00 degrees
Space group F-43m (No. 216)
One atom of each set of equivalent atoms:
Be: 0.1246 0.1246 0.1246 (multiplicity 16)
Co: 0.2500 0.2500 0.7500 (multiplicity 4)
Rh: 0.0000 0.0000 0.5000 (multiplicity 4)


6.
BeCo2Rh | PBEsol | optimized geometry

As for the energy of formation: -1.74 kcal/mol of atoms. The calculation puts the total moment at 3.13 μB/f.u.

Cell lengths 2.7134, 4.0278, 7.7179 Å; angles 90.00, 90.00, 90.00 degrees
Space group Imm2 (No. 44)
One atom of each set of equivalent atoms:
Be: 0.0000 0.0000 0.0000 (multiplicity 2)
Co: 0.0000 0.0000 0.4862 (multiplicity 2)
Co: 0.0000 0.5000 0.7233 (multiplicity 2)
Rh: 0.0000 0.5000 0.2625 (multiplicity 2)


7.
BeCo2Rh | PBEsol | optimized geometry

As for the energy of formation: -0.03 kcal/mol of atoms. The calculation puts the total moment at 1.95 μB/f.u.

Cell lengths 4.6957, 7.2274, 2.5234 Å; angles 90.00, 90.00, 90.00 degrees
Space group Cmmm (No. 65)
One atom of each set of equivalent atoms:
Be: 0.0000 0.0000 0.0000 (multiplicity 2)
Co: 0.2500 0.2500 0.5000 (multiplicity 4)
Rh: 0.0000 0.5000 0.0000 (multiplicity 2)


8.
BeCo2Ru | PBEsol | optimized geometry

As for the energy of formation: 1.78 kcal/mol of atoms. The calculation puts the total moment at 2.07 μB/f.u.

Cell lengths 3.3484, 3.3484, 3.7403 Å; angles 90.00, 90.00, 90.00 degrees
Space group P4/mmm (No. 123)
One atom of each set of equivalent atoms:
Be: 0.0000 0.0000 0.0000 (multiplicity 1)
Co: 0.0000 0.5000 0.5000 (multiplicity 2)
Ru: 0.5000 0.5000 0.0000 (multiplicity 1)


9.
Be4CoRu | PBEsol | optimized geometry

As for the energy of formation: -6.48 kcal/mol of atoms. The calculation puts the total moment at 0.48 μB/f.u.

Cell lengths 5.9342, 5.9342, 5.9342 Å; angles 90.00, 90.00, 90.00 degrees
Space group F-43m (No. 216)
One atom of each set of equivalent atoms:
Be: 0.1249 0.1249 0.1249 (multiplicity 16)
Co: 0.0000 0.0000 0.5000 (multiplicity 4)
Ru: 0.2500 0.2500 0.7500 (multiplicity 4)


10.
BeCo2Ru | PBEsol | optimized geometry

As for the energy of formation: -2.83 kcal/mol of atoms. The calculation puts the total moment at 0.00 μB/f.u.

Cell lengths 2.5507, 2.5507, 6.1565 Å; angles 90.00, 90.00, 90.00 degrees
Space group P4/mmm (No. 123)
One atom of each set of equivalent atoms:
Be: 0.0000 0.0000 0.0000 (multiplicity 1)
Co: 0.5000 0.5000 0.2148 (multiplicity 2)
Ru: 0.0000 0.0000 0.5000 (multiplicity 1)


11.
BeCo2Ru | PBEsol | optimized geometry

As for the energy of formation: 0.48 kcal/mol of atoms. The calculation puts the total moment at 0.05 μB/f.u.

Cell lengths 3.4651, 3.4651, 6.9010 Å; angles 90.00, 90.00, 90.00 degrees
Space group I-4m2 (No. 119)
One atom of each set of equivalent atoms:
Be: 0.0000 0.0000 0.0000 (multiplicity 2)
Co: 0.0000 0.0000 0.5000 (multiplicity 2)
Co: 0.0000 0.5000 0.2500 (multiplicity 2)
Ru: 0.0000 0.5000 0.7500 (multiplicity 2)


12.
Be3CoRu | PBEsol | optimized geometry

As for the energy of formation: 22.82 kcal/mol of atoms. The calculation puts the total moment at 1.70 μB/f.u.

Cell lengths 4.0220, 4.0220, 4.0220 Å; angles 90.00, 90.00, 90.00 degrees
Space group Pm-3m (No. 221)
One atom of each set of equivalent atoms:
Be: 0.0000 0.0000 0.5000 (multiplicity 3)
Co: 0.5000 0.5000 0.5000 (multiplicity 1)
Ru: 0.0000 0.0000 0.0000 (multiplicity 1)


13.
BeCo2Ru | PBEsol | optimized geometry

As for the energy of formation: -0.72 kcal/mol of atoms. The calculation puts the total moment at 2.30 μB/f.u.

Cell lengths 2.6409, 2.6409, 5.8915 Å; angles 90.00, 90.00, 90.00 degrees
Space group P4mm (No. 99)
One atom of each set of equivalent atoms:
Be: 0.0000 0.0000 0.0000 (multiplicity 1)
Co: 0.0000 0.0000 0.4625 (multiplicity 1)
Co: 0.5000 0.5000 0.2050 (multiplicity 1)
Ru: 0.5000 0.5000 0.7464 (multiplicity 1)


14.
BeCo2Ru | PBEsol | optimized geometry

As for the energy of formation: 0.92 kcal/mol of atoms. The calculation puts the total moment at 2.06 μB/f.u.

Cell lengths 3.6795, 2.4995, 9.1035 Å; angles 90.00, 90.00, 90.00 degrees
Space group Amm2 (No. 38)
One atom of each set of equivalent atoms:
Be: 0.0000 0.0000 0.0000 (multiplicity 2)
Co: 0.0000 0.0000 0.2589 (multiplicity 2)
Co: 0.5000 0.0000 0.8730 (multiplicity 2)
Ru: 0.5000 0.0000 0.6102 (multiplicity 2)


15.
BeCo2S | PBEsol | optimized geometry

The value obtained for the uncorrected formation energy is -84.8 meV per atom. The calculation puts the total moment at 1.72 μB/f.u.

Cell lengths 5.3413, 5.3413, 5.3413 Å; angles 90.00, 90.00, 90.00 degrees
Space group Fm-3m (No. 225)
One atom of each set of equivalent atoms:
Be: 0.0000 0.0000 0.0000 (multiplicity 4)
Co: 0.2500 0.2500 0.2500 (multiplicity 8)
S: 0.0000 0.0000 0.5000 (multiplicity 4)


16.
Be2Co2Sb | PBEsol | optimized geometry

The value obtained for the uncorrected formation energy is 57.0 meV per atom. The calculation puts the total moment at 1.08 μB/f.u.

Cell lengths 6.2086, 6.2086, 2.8559 Å; angles 90.00, 90.00, 90.00 degrees
Space group P4/mbm (No. 127)
One atom of each set of equivalent atoms:
Be: 0.1174 0.3826 0.0000 (multiplicity 4)
Co: 0.1645 0.6645 0.5000 (multiplicity 4)
Sb: 0.0000 0.0000 0.0000 (multiplicity 2)


17.
Be2Co2Sb | PBEsol | optimized geometry

The value obtained for the uncorrected formation energy is 92.4 meV per atom. The calculation puts the total moment at 0.00 μB/f.u.

Cell lengths 6.3529, 6.3529, 2.8722 Å; angles 90.00, 90.00, 90.00 degrees
Space group P4/mbm (No. 127)
One atom of each set of equivalent atoms:
Be: 0.1311 0.3689 0.0000 (multiplicity 4)
Co: 0.1480 0.6480 0.5000 (multiplicity 4)
Sb: 0.0000 0.0000 0.5000 (multiplicity 2)


18.
Be2CoSb | PBEsol | optimized geometry

The value obtained for the uncorrected formation energy is 244.9 meV per atom. The calculation puts the total moment at 0.00 μB/f.u.

Cell lengths 3.1229, 3.1229, 5.0281 Å; angles 90.00, 90.00, 90.00 degrees
Space group P4mm (No. 99)
One atom of each set of equivalent atoms:
Be: 0.0000 0.0000 0.0000 (multiplicity 1)
Be: 0.5000 0.5000 0.1899 (multiplicity 1)
Co: 0.0000 0.0000 0.4223 (multiplicity 1)
Sb: 0.5000 0.5000 0.6886 (multiplicity 1)


19.
BeCoSb3 | PBEsol | optimized geometry

The value obtained for the uncorrected formation energy is 736.9 meV per atom. The calculation puts the total moment at 0.00 μB/f.u.

Cell lengths 4.8472, 4.8472, 4.8472 Å; angles 90.00, 90.00, 90.00 degrees
Space group Pm-3m (No. 221)
One atom of each set of equivalent atoms:
Be: 0.0000 0.0000 0.0000 (multiplicity 1)
Co: 0.5000 0.5000 0.5000 (multiplicity 1)
Sb: 0.0000 0.5000 0.5000 (multiplicity 3)


20.
BeCoSb | PBEsol | optimized geometry

The value obtained for the uncorrected formation energy is 198.1 meV per atom. The calculation puts the total moment at 0.00 μB/f.u.

Cell lengths 3.7282, 3.7282, 3.4097 Å; angles 90.00, 90.00, 120.00 degrees
Space group P-6m2 (No. 187)
One atom of each set of equivalent atoms:
Be: 0.0000 0.0000 0.0000 (multiplicity 1)
Co: 0.3333 0.6667 0.0000 (multiplicity 1)
Sb: 0.6667 0.3333 0.5000 (multiplicity 1)